{
  "formula": "Ba3Fe2N4",
  "functional": "GGA-PBEsol",
  "state": "optimized geometry",
  "cell": [[6.067, 0.000, 0.000], [0.000, 9.947, 0.000], [0.000, 0.000, 9.939]],
  "species": ["Ba", "Ba", "Ba", "Ba", "Ba", "Ba", "Ba", "Ba", "Ba", "Ba", "Ba", "Ba", "Fe", "Fe", "Fe", "Fe", "Fe", "Fe", "Fe", "Fe", "N", "N", "N", "N", "N", "N", "N", "N", "N", "N", "N", "N", "N", "N", "N", "N"],
  "fractional_positions": [[0.114, 0.158, 0.084], [0.114, 0.342, 0.416], [0.250, 0.000, 0.403], [0.250, 0.500, 0.097], [0.386, 0.658, 0.416], [0.386, 0.842, 0.084], [0.614, 0.158, 0.916], [0.614, 0.342, 0.584], [0.750, 0.000, 0.597], [0.750, 0.500, 0.903], [0.886, 0.658, 0.584], [0.886, 0.842, 0.916], [0.156, 0.250, 0.750], [0.250, 0.000, 0.734], [0.250, 0.500, 0.766], [0.344, 0.750, 0.750], [0.656, 0.250, 0.250], [0.750, 0.000, 0.266], [0.750, 0.500, 0.234], [0.844, 0.750, 0.250], [0.032, 0.090, 0.826], [0.032, 0.410, 0.674], [0.155, 0.643, 0.864], [0.155, 0.857, 0.636], [0.345, 0.143, 0.636], [0.345, 0.357, 0.864], [0.468, 0.590, 0.674], [0.468, 0.910, 0.826], [0.532, 0.090, 0.174], [0.532, 0.410, 0.326], [0.655, 0.643, 0.136], [0.655, 0.857, 0.364], [0.845, 0.143, 0.364], [0.845, 0.357, 0.136], [0.968, 0.590, 0.326], [0.968, 0.910, 0.174]],
  "e_form_raw_ev_per_atom": -0.511,
  "energy_ev_per_cell": -252.321,
  "density_g_cm3": 6.4
}



{
  "formula": "BaFe2N2",
  "functional": "GGA-PBEsol",
  "state": "optimized geometry",
  "cell": [[-3.003, 3.003, 4.622], [3.003, -3.003, 4.622], [3.003, 3.003, -4.622]],
  "species": ["Ba", "Ba", "Fe", "Fe", "Fe", "Fe", "N", "N", "N", "N"],
  "fractional_positions": [[0.250, 0.250, 0.000], [0.750, 0.750, 0.000], [0.135, 0.635, 0.769], [0.365, 0.135, 0.500], [0.635, 0.865, 0.500], [0.865, 0.365, 0.231], [0.159, 0.341, 0.500], [0.341, 0.841, 0.181], [0.659, 0.159, 0.819], [0.841, 0.659, 0.500]],
  "e_form_raw_ev_per_atom": -0.410,
  "energy_ev_per_cell": -78.354,
  "density_g_cm3": 5.5
}



{
  "formula": "BaFePbN2",
  "functional": "GGA-PBEsol",
  "state": "optimized geometry",
  "cell": [[4.584, 0.000, 0.000], [0.000, 4.584, 0.000], [0.000, 0.000, 4.875]],
  "species": ["Ba", "Fe", "Pb", "N", "N"],
  "fractional_positions": [[0.000, 0.000, 0.000], [0.500, 0.500, 0.000], [0.500, 0.500, 0.500], [0.000, 0.500, 0.500], [0.500, 0.000, 0.500]],
  "e_form_raw_ev_per_atom": 1.297,
  "energy_ev_per_cell": -25.678,
  "density_g_cm3": 6.9
}